# 1
A geometry-optimized LiTaPb2 structure, computed with PBE.

a = 5.2831 Å, b = 5.2831 Å, c = 3.1725 Å
α = 90.00°, β = 90.00°, γ = 98.09°
Closest atoms and distances in Å follow each position.
Positions (direct):
Li: 0.0000 0.5000 0.5000  8 Pb 3.08, 2 Li 3.17
Pb: 0.0000 0.0000 0.0000  4 Li 3.08, 4 Ta 3.08, 2 Pb 3.17
Pb: 0.5000 0.5000 0.0000  4 Ta 3.08, 4 Li 3.08, 2 Pb 3.17
Ta: 0.5000 0.0000 0.5000  8 Pb 3.08, 2 Ta 3.17

## Properties
* energy relative to the elements: 326 meV/atom
* crystal system: orthorhombic

=====

# 2
A geometry-optimized SmY4Sc2 structure, computed with PBE.

a = 5.4663 Å, b = 6.8426 Å, c = 11.7047 Å
α = 90.00°, β = 103.49°, γ = 90.00°
Closest atoms and distances in Å follow each position.
Positions (direct):
Sm: 0.0729 0.7500 0.1446  2 Sc 3.18-3.19, 4 Y 3.27-3.42
Sm: 0.9271 0.2500 0.8554  2 Sc 3.18-3.19, 4 Y 3.27-3.42
Y: 0.6458 0.4995 0.2920  7 Y 3.41-3.60, 5 Sc 3.57-3.74, 2 Sm 3.63-3.64
Y: 0.9246 0.7500 0.8490  3 Sc 3.15-3.24, 3 Sm 3.36-3.42
Y: 0.0754 0.2500 0.1510  3 Sc 3.15-3.24, 3 Sm 3.36-3.42
Y: 0.6458 0.0005 0.2920  7 Y 3.41-3.60, 5 Sc 3.57-3.74, 2 Sm 3.63-3.64
Y: 0.7848 0.2500 0.5680  4 Sc 3.16-3.42, 1 Sm 3.27
Y: 0.3542 0.9995 0.7080  7 Y 3.41-3.60, 5 Sc 3.57-3.74, 2 Sm 3.63-3.64
Y: 0.3542 0.5005 0.7080  7 Y 3.41-3.60, 5 Sc 3.57-3.74, 2 Sm 3.63-3.64
Y: 0.2152 0.7500 0.4320  4 Sc 3.16-3.42, 1 Sm 3.27
Sc: 0.5008 0.7500 0.0008  2 Sm 3.18-3.19, 2 Y 3.23-3.24, 2 Sc 3.42
Sc: 0.4992 0.2500 0.9992  2 Sm 3.18-3.19, 2 Y 3.23-3.24, 2 Sc 3.42
Sc: 0.2148 0.2500 0.4280  5 Y 3.15-3.42
Sc: 0.7852 0.7500 0.5720  5 Y 3.15-3.42

## Properties
* energy relative to the elements: 142 meV/atom
* crystal system: monoclinic
* distance to the lowest polymorph of the same formula: 0.000 eV/atom

=====

# 3
A geometry-optimized KNdAgBr5 structure, computed with PBE.

a = 8.0465 Å, b = 8.0465 Å, c = 10.8317 Å
α = 102.47°, β = 102.47°, γ = 109.15°
Closest atoms and distances in Å follow each position.
Positions (direct):
K: 0.3572 0.6428 0.2500  5 Br 3.33-3.54
K: 0.6428 0.3572 0.7500  5 Br 3.33-3.54
Nd: 0.0000 0.0000 0.5000  6 Br 2.90-2.94
Nd: 0.0000 0.0000 0.0000  6 Br 2.90-2.94
Ag: 0.6873 0.3127 0.2500  4 Br 2.70-2.73
Ag: 0.3127 0.6873 0.7500  4 Br 2.70-2.73
Br: 0.0876 0.9124 0.2500  2 Nd 2.94
Br: 0.9124 0.0876 0.7500  2 Nd 2.94
Br: 0.9278 0.3211 0.1102  1 Ag 2.70, 1 Nd 2.90
Br: 0.0722 0.6789 0.8898  1 Ag 2.70, 1 Nd 2.90
Br: 0.6789 0.0722 0.3898  1 Ag 2.70, 1 Nd 2.90
Br: 0.3211 0.9278 0.6102  1 Ag 2.70, 1 Nd 2.90
Br: 0.7427 0.6231 0.4448  1 Ag 2.73, 1 Nd 2.90
Br: 0.2573 0.3769 0.5552  1 Ag 2.73, 1 Nd 2.90
Br: 0.3769 0.2573 0.0552  1 Ag 2.73, 1 Nd 2.90
Br: 0.6231 0.7427 0.9448  1 Ag 2.73, 1 Nd 2.90

## Properties
* uncorrected formation energy: -33.53 kcal/mol of atoms
* crystal system: monoclinic

=====

# 4
A geometry-optimized K2CaPt structure, computed with PBE.

a = 3.9313 Å, b = 4.2269 Å, c = 10.2319 Å
α = 78.34°, β = 90.00°, γ = 90.00°
Closest atoms and distances in Å follow each position.
Positions (direct):
Ca: 0.5000 0.7437 0.6396  4 Pt 2.91
K: 0.0000 0.0953 0.9381  1 Pt 3.37
K: 0.5000 0.3985 0.3209  2 Pt 3.43, 2 Ca 3.83
Pt: 0.0000 0.2625 0.6014  4 Ca 2.91

## Properties
* energy relative to the elements: -256 meV/atom
* crystal system: monoclinic
* distance to the lowest polymorph of the same formula: 0.000 eV/atom

=====

Number 1: calculated total energy -4.97 eV/atom, size of the total moment 0.00 μB/f.u.. Number 2: calculated total energy -6.04 eV/atom, size of the total moment 0.00 μB/f.u.. Number 3: calculated total energy -3.59 eV/atom, size of the total moment 0.00 μB/f.u.. Number 4: calculated total energy -2.82 eV/atom, size of the total moment 0.00 μB/f.u..